(1)
This record from the Alexandria database describes a geometry-optimized CdTeMoO6 structure. The functional is GGA+U.

As for the energy above the most stable polymorph in this dataset: 111 meV/atom. Its final energy is -0.42330 Ry per atom.

a = 5.4525 Å, b = 5.4525 Å, c = 9.5786 Å
α = 90.00°, β = 90.00°, γ = 120.00°
Closest atoms and distances in Å follow each position.
Element x y z (fractional)
O1 0.6512 0.6272 0.6377  1 Mo 1.97, 1 Te 2.14
Mo1 0.3333 0.6667 0.2500  6 O 1.97
Te1 0.6667 0.3333 0.2500  6 O 2.14
O2 0.3728 0.0240 0.6377  1 Mo 1.97, 1 Te 2.14
Mo2 0.6667 0.3333 0.7500  6 O 1.97
O3 0.0240 0.6512 0.3623  1 Mo 1.97, 1 Te 2.14
O4 0.3488 0.9760 0.1377  1 Mo 1.97, 1 Te 2.14
Cd1 0.0000 0.0000 0.0000  6 O 2.37
O5 0.0240 0.3728 0.1377  1 Mo 1.97, 1 Te 2.14
Cd2 0.0000 0.0000 0.5000  6 O 2.37
O6 0.9760 0.6272 0.8623  1 Mo 1.97, 1 Te 2.14
O7 0.6272 0.9760 0.3623  1 Mo 1.97, 1 Te 2.14
O8 0.3488 0.3728 0.3623  1 Mo 1.97, 1 Te 2.14
O9 0.9760 0.3488 0.6377  1 Mo 1.97, 1 Te 2.14
Te2 0.3333 0.6667 0.7500  6 O 2.14
O10 0.3728 0.3488 0.8623  1 Mo 1.97, 1 Te 2.14
O11 0.6272 0.6512 0.1377  1 Mo 1.97, 1 Te 2.14
O12 0.6512 0.0240 0.8623  1 Mo 1.97, 1 Te 2.14

---

(2)
This record from the Alexandria database describes a geometry-optimized Cd2TeMoO6 structure. The functional is GGA+U.

Its final energy is -0.37998 Ry per atom. The value obtained for the density of states at the Fermi level is 1.7 states/eV per cell.

a = 4.8393 Å, b = 5.7075 Å, c = 5.7075 Å
α = 90.00°, β = 90.00°, γ = 90.00°
Closest atoms and distances in Å follow each position.
Element x y z (fractional)
O1 0.7123 0.2660 0.2660  1 Mo 2.01, 1 Te 2.20
O2 0.7123 0.2660 0.7340  1 Mo 2.01, 1 Te 2.20
O3 0.2038 0.5000 0.5000  1 Mo 1.76
Cd1 0.9886 0.5000 0.0000  4 O 2.42
O4 0.2304 0.0000 0.0000  1 Te 1.88
Te1 0.6181 0.0000 0.0000  1 O 1.88
O5 0.7123 0.7340 0.7340  1 Mo 2.01, 1 Te 2.20
O6 0.7123 0.7340 0.2660  1 Mo 2.01, 1 Te 2.20
Mo1 0.5682 0.5000 0.5000  1 O 1.76
Cd2 0.9886 0.0000 0.5000  4 O 2.42

---

(3)
This record from the Alexandria database describes a geometry-optimized CdTeMoO6 structure. The functional is GGA+U.

As for the energy above the most stable polymorph in this dataset: 0 meV/atom. Its final energy is -0.43148 Ry per atom. The value obtained for the density of states at the Fermi level is 0.0 states/eV per cell.

a = 5.3609 Å, b = 5.3609 Å, c = 9.3881 Å
α = 90.00°, β = 90.00°, γ = 90.00°
Closest atoms and distances in Å follow each position.
Element x y z (fractional)
Mo1 0.0000 0.5000 0.8118  4 O 1.74-1.90
O1 0.8177 0.6823 0.9244  1 Mo 1.74
O2 0.7809 0.2809 0.7134  1 Mo 1.90
O3 0.6919 0.8081 0.6214  1 Te 1.92
O4 0.3177 0.8177 0.0756  1 Mo 1.74
O5 0.3081 0.1919 0.6214  1 Te 1.92
Cd1 0.0000 0.0000 0.5000  4 O 2.25
O6 0.6823 0.1823 0.0756  1 Mo 1.74
Te1 0.0000 0.5000 0.2458  2 O 1.92
O7 0.2809 0.2191 0.2866  1 Mo 1.90
O8 0.8081 0.3081 0.3786  1 Te 1.92
O9 0.7191 0.7809 0.2866  1 Mo 1.90
O10 0.2191 0.7191 0.7134  1 Mo 1.90
O11 0.1823 0.3177 0.9244  1 Mo 1.74
Mo2 0.5000 0.0000 0.1882  4 O 1.74-1.90
Cd2 0.5000 0.5000 0.5000  4 O 2.25
Te2 0.5000 0.0000 0.7542  2 O 1.92
O12 0.1919 0.6919 0.3786  1 Te 1.92

---

(4)
This record from the Alexandria database describes a geometry-optimized ThCdMo3O12 structure. The functional is GGA+U.

Its final energy is -0.53013 Ry per atom. The value obtained for the density of states at the Fermi level is 0.0 states/eV per cell.

a = 10.1066 Å, b = 10.1066 Å, c = 6.4250 Å
α = 90.00°, β = 90.00°, γ = 120.00°
Closest atoms and distances in Å follow each position.
Element x y z (fractional)
Th1 0.3333 0.6667 0.2500  9 O 2.45-2.46
O1 0.4725 0.2624 0.0238  1 Mo 1.79
O2 0.5176 0.9416 0.2500  1 Mo 1.78
O3 0.5275 0.7376 0.5238  1 Mo 1.79
O4 0.5761 0.5176 0.7500  1 Mo 1.78
O5 0.8183 0.8483 0.7500  1 Mo 1.84
O6 0.7899 0.5275 0.4762  1 Mo 1.79
O7 0.9700 0.8183 0.2500  1 Mo 1.84
Mo1 0.6129 0.7091 0.7500  4 O 1.78-1.84
O8 0.1517 0.9700 0.7500  1 Mo 1.84
Mo2 0.3871 0.2909 0.2500  4 O 1.78-1.84
O9 0.4725 0.2624 0.4762  1 Mo 1.79
Mo3 0.7091 0.0963 0.2500  4 O 1.78-1.84
O10 0.7376 0.2101 0.4762  1 Mo 1.79
Cd1 0.0000 0.0000 0.5000  6 O 2.34
O11 0.0300 0.1817 0.7500  1 Mo 1.84
O12 0.0584 0.5761 0.2500  1 Mo 1.78
Th2 0.6667 0.3333 0.7500  9 O 2.45-2.46
O13 0.2624 0.7899 0.5238  1 Mo 1.79
O14 0.7376 0.2101 0.0238  1 Mo 1.79
Mo4 0.2909 0.9037 0.7500  4 O 1.78-1.84
Mo5 0.9037 0.6129 0.2500  4 O 1.78-1.84
O15 0.2624 0.7899 0.9762  1 Mo 1.79
O16 0.8483 0.0300 0.2500  1 Mo 1.84
Cd2 0.0000 0.0000 0.0000  6 O 2.34
O17 0.2101 0.4725 0.5238  1 Mo 1.79
O18 0.4824 0.0584 0.7500  1 Mo 1.78
Mo6 0.0963 0.3871 0.7500  4 O 1.78-1.84
O19 0.7899 0.5275 0.0238  1 Mo 1.79
O20 0.1817 0.1517 0.2500  1 Mo 1.84
O21 0.2101 0.4725 0.9762  1 Mo 1.79
O22 0.4239 0.4824 0.2500  1 Mo 1.78
O23 0.9416 0.4239 0.7500  1 Mo 1.78
O24 0.5275 0.7376 0.9762  1 Mo 1.79

---

(5)
This record from the Alexandria database describes a geometry-optimized TiCdMo2O6 structure. The functional is GGA+U.

Its final energy is -0.49371 Ry per atom. The value obtained for the density of states at the Fermi level is 0.1 states/eV per cell.

a = 5.3612 Å, b = 5.2763 Å, c = 5.2763 Å
α = 90.00°, β = 90.00°, γ = 90.00°
Closest atoms and distances in Å follow each position.
Element x y z (fractional)
O1 0.1283 0.5000 0.5000  1 Cd 2.07
O2 0.7556 0.7581 0.2419  1 Ti 1.97, 2 Mo 2.12
O3 0.2832 0.0000 0.0000  1 Ti 1.75
O4 0.7556 0.2419 0.7581  1 Ti 1.97, 2 Mo 2.12
Mo1 0.9451 0.0000 0.5000  4 O 2.12
O5 0.7556 0.7581 0.7581  1 Ti 1.97, 2 Mo 2.12
Ti1 0.6088 0.0000 0.0000  1 O 1.75
Cd1 0.5138 0.5000 0.5000  1 O 2.07
O6 0.7556 0.2419 0.2419  1 Ti 1.97, 2 Mo 2.12
Mo2 0.9451 0.5000 0.0000  4 O 2.12

---

(6)
This record from the Alexandria database describes a geometry-optimized TiCd2MoO6 structure. The functional is GGA+U.

Its final energy is -0.46323 Ry per atom. The value obtained for the density of states at the Fermi level is 1.9 states/eV per cell.

a = 3.9687 Å, b = 5.7125 Å, c = 5.7125 Å
α = 90.00°, β = 90.00°, γ = 90.00°
Closest atoms and distances in Å follow each position.
Element x y z (fractional)
Cd1 0.0182 0.5000 0.0000  4 O 2.39
O1 0.1661 0.5000 0.5000  2 Mo 1.94-2.03
Mo1 0.6545 0.5000 0.5000  6 O 1.94-2.07
O2 0.6956 0.2447 0.7553  1 Ti 2.00, 1 Mo 2.07
O3 0.6956 0.7553 0.2447  1 Ti 2.00, 1 Mo 2.07
O4 0.1797 0.0000 0.0000  1 Ti 1.78
Ti1 0.6275 0.0000 0.0000  1 O 1.78
Cd2 0.0182 0.0000 0.5000  4 O 2.39
O5 0.6956 0.7553 0.7553  1 Ti 2.00, 1 Mo 2.07
O6 0.6956 0.2447 0.2447  1 Ti 2.00, 1 Mo 2.07

---

(7)
This record from the Alexandria database describes a geometry-optimized Tl3CdMo2O8 structure. The functional is GGA+U.

Its final energy is -0.41587 Ry per atom. The value obtained for the density of states at the Fermi level is 4.4 states/eV per cell.

a = 6.2528 Å, b = 6.2528 Å, c = 8.0094 Å
α = 90.00°, β = 90.00°, γ = 120.00°
Closest atoms and distances in Å follow each position.
Element x y z (fractional)
O1 0.3333 0.6667 0.9805  1 Mo 1.79
O2 0.6468 0.8234 0.2835  1 Mo 1.81
O3 0.6667 0.3333 0.0195  1 Mo 1.79
O4 0.8234 0.1766 0.7165  1 Mo 1.81
Tl1 0.0000 0.0000 0.0000  6 O 2.97
O5 0.3532 0.1766 0.7165  1 Mo 1.81
Mo1 0.6667 0.3333 0.7960  4 O 1.79-1.81
Tl2 0.3333 0.6667 0.6623  1 O 2.55
O6 0.1766 0.8234 0.2835  1 Mo 1.81
O7 0.1766 0.3532 0.2835  1 Mo 1.81
Tl3 0.6667 0.3333 0.3377  1 O 2.55
Mo2 0.3333 0.6667 0.2040  4 O 1.79-1.81
O8 0.8234 0.6468 0.7165  1 Mo 1.81
Cd1 0.0000 0.0000 0.5000  6 O 2.58

---

(8)
This record from the Alexandria database describes a geometry-optimized Tl2CdMoO6 structure. The functional is GGA+U.

Its final energy is -0.37701 Ry per atom. The value obtained for the density of states at the Fermi level is 3.5 states/eV per cell.

a = 5.9434 Å, b = 6.4347 Å, c = 6.4347 Å
α = 120.00°, β = 90.00°, γ = 90.00°
Closest atoms and distances in Å follow each position.
Element x y z (fractional)
O1 0.2018 0.2780 0.1390  1 Mo 1.96
O2 0.7982 0.1390 0.2780  1 Mo 1.96
O3 0.7982 0.7220 0.8610  1 Mo 1.96
Tl1 0.9137 0.3333 0.6667  3 O 2.27
O4 0.2018 0.8610 0.1390  1 Mo 1.96
Mo1 0.0000 0.0000 0.0000  6 O 1.96
O5 0.7982 0.1390 0.8610  1 Mo 1.96
Tl2 0.0863 0.6667 0.3333  3 O 2.27
O6 0.2018 0.8610 0.7220  1 Mo 1.96
Cd1 0.5000 0.0000 0.0000  6 O 2.35

---

(9)
This record from the Alexandria database describes a geometry-optimized TlCdMo2O8 structure. The functional is GGA+U.

Its final energy is -0.44400 Ry per atom. The value obtained for the density of states at the Fermi level is 5.4 states/eV per cell.

a = 6.2924 Å, b = 6.2924 Å, c = 6.2924 Å
α = 107.84°, β = 107.84°, γ = 112.79°
Closest atoms and distances in Å follow each position.
Element x y z (fractional)
Cd1 0.2500 0.7500 0.5000  4 O 2.35
O1 0.3462 0.5424 0.1961  1 Mo 1.81
O2 0.8499 0.6538 0.1961  1 Mo 1.81
O3 0.4576 0.6538 0.8039  1 Mo 1.81
O4 0.7795 0.0897 0.6898  1 Mo 1.80
Mo1 0.7500 0.2500 0.5000  4 O 1.80
Mo2 0.5000 0.5000 0.0000  4 O 1.81
O5 0.4000 0.0897 0.3102  1 Mo 1.80
O6 0.3462 0.1501 0.8039  1 Mo 1.81
O7 0.9103 0.6000 0.6898  1 Mo 1.80
O8 0.9103 0.2205 0.3102  1 Mo 1.80
Tl1 0.0000 0.0000 0.0000  4 O 2.38

---

(10)
This record from the Alexandria database describes a geometry-optimized Tl2Cd2MoO6 structure. The functional is GGA+U.

Its final energy is -0.36915 Ry per atom.

a = 5.7664 Å, b = 5.7664 Å, c = 6.7187 Å
α = 98.06°, β = 98.06°, γ = 119.19°
Closest atoms and distances in Å follow each position.
Element x y z (fractional)
O1 0.9448 0.6609 0.3331  1 Mo 1.96
O2 0.0552 0.3391 0.6669  1 Mo 1.96
O3 0.7829 0.7829 0.6824  1 Mo 1.99
Mo1 0.0000 0.0000 0.5000  6 O 1.96-1.99
Cd1 0.6631 0.3369 0.5000  6 O 2.35-2.40
O4 0.6609 0.9448 0.3331  1 Mo 1.96
Tl1 0.1709 0.8291 0.0000  6 O 2.75-3.07
O5 0.3391 0.0552 0.6669  1 Mo 1.96
Cd2 0.3369 0.6631 0.5000  6 O 2.35-2.40
Tl2 0.8291 0.1709 0.0000  6 O 2.75-3.07
O6 0.2171 0.2171 0.3176  1 Mo 1.99

---

(11)
This record from the Alexandria database describes a geometry-optimized TlCdMoO4 structure. The functional is GGA+U.

Its final energy is -0.40460 Ry per atom. The value obtained for the density of states at the Fermi level is 2.6 states/eV per cell.

a = 6.5286 Å, b = 6.0791 Å, c = 8.2790 Å
α = 90.00°, β = 117.88°, γ = 90.00°
Closest atoms and distances in Å follow each position.
Element x y z (fractional)
Mo1 0.2903 0.7500 0.3362  4 O 1.79-1.83
O1 0.6515 0.2500 0.4301  1 Mo 1.79
O2 0.3485 0.7500 0.5699  1 Mo 1.79
O3 0.8824 0.0055 0.7719  1 Mo 1.83
O4 0.5505 0.7500 0.3149  1 Mo 1.79
Tl1 0.6921 0.7500 0.9313  3 O 2.69-2.78
Mo2 0.7097 0.2500 0.6638  4 O 1.79-1.83
O5 0.8824 0.4945 0.7719  1 Mo 1.83
O6 0.1176 0.9945 0.2281  1 Mo 1.83
Cd1 0.0534 0.2500 0.4292  4 O 2.45-2.63
Tl2 0.3079 0.2500 0.0687  3 O 2.69-2.78
Cd2 0.9466 0.7500 0.5708  4 O 2.45-2.63
O7 0.4495 0.2500 0.6851  1 Mo 1.79
O8 0.1176 0.5055 0.2281  1 Mo 1.83

---

(12)
This record from the Alexandria database describes a geometry-optimized UCd2MoO8 structure. The functional is GGA+U.

Its final energy is -0.50666 Ry per atom. The value obtained for the density of states at the Fermi level is 0.0 states/eV per cell.

a = 5.0666 Å, b = 5.0606 Å, c = 6.6001 Å
α = 90.00°, β = 90.00°, γ = 92.84°
Closest atoms and distances in Å follow each position.
Element x y z (fractional)
O1 0.2817 0.2812 0.5000  1 U 1.97
Cd1 0.5000 0.5000 0.2393  6 O 2.25-2.39
Mo1 0.0000 0.0000 0.0000  6 O 1.89-2.00
O2 0.1733 0.8260 0.2329  1 Mo 2.00, 1 U 2.18
O3 0.7183 0.7188 0.5000  1 U 1.97
O4 0.8267 0.1740 0.7671  1 Mo 2.00, 1 U 2.18
U1 0.0000 0.0000 0.5000  6 O 1.97-2.18
O5 0.1733 0.8260 0.7671  1 Mo 2.00, 1 U 2.18
O6 0.8267 0.1740 0.2329  1 Mo 2.00, 1 U 2.18
Cd2 0.5000 0.5000 0.7607  6 O 2.25-2.39
O7 0.2704 0.2700 0.0000  1 Mo 1.89
O8 0.7296 0.7300 0.0000  1 Mo 1.89